VASP calculation (PBE+U) on an optimized crystal structure of FeHgO2.

a = 5.8881 Å, b = 5.8881 Å, c = 5.8881 Å
α = 126.09°, β = 126.09°, γ = 79.73°
Positions (direct):
Fe1 0.0000 0.0000 0.0000
Fe2 0.7500 0.2500 0.5000
Hg1 0.2500 0.7500 0.5000
Hg2 0.5000 0.5000 0.0000
O1 0.0233 0.6250 0.8983
O2 0.3750 0.2733 0.3983
O3 0.7267 0.1250 0.1017
O4 0.8750 0.9767 0.6017

## Properties
total DFT energy (no corrections)	-4.724	eV/atom
ρ	7.440	Mg/m³
DOS(E_F)	0.264	states/eV per atom